A relaxed structure of LiZnBIr2, computed with PBE-GGA.

Cell lengths 4.0611, 4.0611, 4.0188 Å; angles 90.00, 90.00, 90.00 degrees
Last column: nearest neighbours and their distance in Å.
Fractional positions:
Ir 0.5000 0.0000 0.0000  2 B 2.03
Ir 0.0000 0.5000 0.0000  2 B 2.03
B 0.0000 0.0000 0.0000  2 Li 2.01, 4 Ir 2.03
Li 0.0000 0.0000 0.5000  2 B 2.01
Zn 0.5000 0.5000 0.5000  8 Ir 2.86, 4 Li 2.87

Output
Formation enthalpy at 0 K ... -1.02 eV per formula unit
Uncorrected energy ... -5.721 eV per atom
Theoretical density ... 11715 kg/m3